Material: MgSc2Cl
Method: DFT, PBE-GGA
State: relaxed

Values from the calculation:
For the total energy, the calculation gives -17.78 eV for the cell shown. Its space-group type is Pm (6). The calculated volume is 95.3 Å³/cell. The calculation puts the calculated density at 2.6 g/cm³. Its total magnetization is 0.00 μB/cell. For the offset from the most stable computed form, the calculation gives 0.76 eV per formula unit. For the density of states at the Fermi level, the calculation gives 1.181 states/eV/atom.

Cell and atoms, written as POSCAR:
```
MgSc2Cl
1.0
3.3131 0.0000 0.0000
0.0000 5.0037 0.0000
-1.6532 0.0000 5.7516
Mg Sc Cl
1 2 1
Direct
0.0000 0.0000 0.0000
0.2587 0.0000 0.5143
0.6063 0.5000 0.2094
0.2873 0.5000 0.5707
```



Material: Rb2ScNF6
Method: DFT, PBE-GGA
State: relaxed

Values from the calculation:
For the total energy, the calculation gives -50.22 eV for the cell shown. Its space-group type is I4/mmm (139). The calculated volume is 167.0 Å³/cell. The calculation puts the calculated density at 3.4 g/cm³. Its total magnetization is 0.00 μB/cell. For the density of states at the Fermi level, the calculation gives 0.000 states/eV/atom.

Cell and atoms, written as POSCAR:
```
Rb2ScNF6
1.0
-2.7991 2.7991 5.3290
2.7991 -2.7991 5.3290
2.7991 2.7991 -5.3290
Rb Sc N F
2 1 1 6
Direct
0.2500 0.7500 0.5000
0.7500 0.2500 0.5000
0.0000 0.0000 0.0000
0.5000 0.5000 0.0000
0.1883 0.1883 0.0000
0.2581 0.2581 0.5163
0.2581 0.7419 0.0000
0.7419 0.2581 0.0000
0.7419 0.7419 0.4837
0.8117 0.8117 0.0000
```



Material: K2Cd2AgAu5
Method: DFT, PBE-GGA
State: relaxed

Values from the calculation:
For the total energy, the calculation gives -49.77 eV for the cell shown. Its space-group type is P4/mbm (127). Its energy relative to the elements is -1.6 eV/f.u. The calculated volume is 469.3 Å³/cell. The calculation puts the calculated density at 9.9 g/cm³. Its total magnetization is 0.00 μB/cell. For the density of states at the Fermi level, the calculation gives 0.224 states/eV/atom.

Cell and atoms, written as POSCAR:
```
K2Cd2AgAu5
1.0
11.8048 0.0000 0.0000
0.0000 11.8048 0.0000
0.0000 0.0000 3.3674
K Cd Ag Au
4 4 2 10
Direct
0.1705 0.3295 0.0000
0.3295 0.8295 0.0000
0.6705 0.1705 0.0000
0.8295 0.6705 0.0000
0.1353 0.6353 0.0000
0.3647 0.1353 0.0000
0.6353 0.8647 0.0000
0.8647 0.3647 0.0000
0.0000 0.0000 0.0000
0.5000 0.5000 0.0000
0.0000 0.5000 0.5000
0.0641 0.8178 0.5000
0.1822 0.0641 0.5000
0.3178 0.5641 0.5000
0.4359 0.3178 0.5000
0.5000 0.0000 0.5000
0.5641 0.6822 0.5000
0.6822 0.4359 0.5000
0.8178 0.9359 0.5000
0.9359 0.1822 0.5000
```



Material: CdOs
Method: DFT, PBE-GGA
State: relaxed

Values from the calculation:
For the total energy, the calculation gives -21.74 eV for the cell shown. Its space-group type is Imma (74). Its energy relative to the elements is 1.3 eV/f.u. The calculated volume is 73.8 Å³/cell. The calculation puts the calculated density at 13.6 g/cm³. Its total magnetization is 0.00 μB/cell. For the density of states at the Fermi level, the calculation gives 0.759 states/eV/atom.

Cell and atoms, written as POSCAR:
```
CdOs
1.0
-1.4054 2.4093 5.4502
1.4054 -2.4093 5.4502
1.4054 2.4093 -5.4502
Cd Os
2 2
Direct
0.3458 0.0958 0.2500
0.6542 0.9042 0.7500
0.0936 0.3436 0.7500
0.9064 0.6564 0.2500
```



Material: Rb2GeP
Method: DFT, PBE-GGA
State: relaxed

Values from the calculation:
For the total energy, the calculation gives -10.17 eV for the cell shown. Its space-group type is Fm-3m (225). Its energy relative to the elements is 1.8 eV/f.u. The calculated volume is 136.5 Å³/cell. The calculation puts the calculated density at 3.3 g/cm³. Its total magnetization is 1.00 μB/cell. For the offset from the most stable computed form, the calculation gives 2.74 eV per formula unit. For the density of states at the Fermi level, the calculation gives 0.482 states/eV/atom.

Cell and atoms, written as POSCAR:
```
Rb2GeP
1.0
0.0000 4.0869 4.0869
4.0869 0.0000 4.0869
4.0869 4.0869 0.0000
Rb Ge P
2 1 1
Direct
0.2500 0.2500 0.2500
0.7500 0.7500 0.7500
0.0000 0.0000 0.0000
0.5000 0.5000 0.5000
```